(1)
# Sc2TlAs | Alexandria | PBEsol | optimized geometry
data_Sc2TlAs
_symmetry_space_group_name_H-M 'I -4 m 2'
_symmetry_Int_Tables_number 119
_symmetry_space_group_name_Hall 'I -4 -2'
_cell_length_a 4.039
_cell_length_b 4.039
_cell_length_c 10.060
_cell_angle_alpha 90.00
_cell_angle_beta 90.00
_cell_angle_gamma 90.00
loop_
_atom_site_label
_atom_site_type_symbol
_atom_site_fract_x
_atom_site_fract_y
_atom_site_fract_z
Sc1 Sc 0.000 0.000 0.000
Sc2 Sc 0.000 0.500 0.250
Tl1 Tl 0.000 0.000 0.500
As1 As 0.000 0.500 0.750
# **Spin magnetization**: 0.0 μB/f.u.
# **Calculated total energy**: -5.87 eV/atom
# **Energy above the most stable polymorph in this dataset**: 212.0 meV per atom
# **Energy relative to the elements**: -2.54 eV per formula unit

(2)
# Li2PdO3 | Alexandria | PBEsol | optimized geometry
data_Li2PdO3
_symmetry_space_group_name_H-M 'C 1 2/m 1'
_symmetry_Int_Tables_number 12
_symmetry_space_group_name_Hall '-C 2y'
_cell_length_a 5.106
_cell_length_b 8.828
_cell_length_c 5.050
_cell_angle_alpha 90.00
_cell_angle_beta 109.68
_cell_angle_gamma 90.00
loop_
_atom_site_label
_atom_site_type_symbol
_atom_site_fract_x
_atom_site_fract_y
_atom_site_fract_z
Li1 Li 0.000 0.000 0.000
Li2 Li 0.000 0.163 0.500
Li3 Li 0.000 0.500 0.500
Pd1 Pd 0.000 0.333 0.000
O1 O 0.231 0.500 0.236
O2 O 0.248 0.326 0.766
# **Spin magnetization**: 0.0 μB/f.u.
# **Calculated total energy**: -5.62 eV/atom
# **Formation energy without anion corrections**: -129.9 kJ per mole of atoms

(3)
# TaTl2AgS4 | Alexandria | PBEsol | optimized geometry
data_TaTl2AgS4
_symmetry_space_group_name_H-M 'P 1 21/c 1'
_symmetry_Int_Tables_number 14
_symmetry_space_group_name_Hall '-P 2ybc'
_cell_length_a 7.839
_cell_length_b 10.297
_cell_length_c 12.540
_cell_angle_alpha 90.00
_cell_angle_beta 127.73
_cell_angle_gamma 90.00
loop_
_atom_site_label
_atom_site_type_symbol
_atom_site_fract_x
_atom_site_fract_y
_atom_site_fract_z
Ta1 Ta 0.070 0.226 0.454
Tl1 Tl 0.337 0.003 0.227
Tl2 Tl 0.406 0.726 0.510
Ag1 Ag 0.092 0.011 0.715
S1 S 0.111 0.238 0.649
S2 S 0.187 0.077 0.938
S3 S 0.286 0.067 0.468
S4 S 0.287 0.687 0.221
# **Spin magnetization**: 0.0 μB/f.u.
# **Calculated total energy**: -5.41 eV/atom
# **Formation energy without anion corrections**: -55.6 kJ per mole of atoms